This record from the Alexandria database describes crystalline CaThIrRu at its relaxed geometry. The functional is PBE.

Cell lengths 4.9202, 4.9202, 4.9202 Å; angles 60.00, 60.00, 60.00 degrees
Closest atoms and distances in Å follow each position.
Sites, in units of the cell vectors:
Ca  0.0000  0.0000  0.0000  4 Ru 3.01, 4 Ir 3.01
Th  0.5000  0.5000  0.5000  4 Ir 3.01, 4 Ru 3.01
Ir  0.7500  0.7500  0.7500  4 Ca 3.01, 4 Th 3.01
Ru  0.2500  0.2500  0.2500  4 Th 3.01, 4 Ca 3.01

DFT formation energy = -0.36 eV per atom

***

This record from the Alexandria database describes crystalline Y8PtSe4S3 at its relaxed geometry. The functional is PBE.

Cell lengths 8.1208, 8.1208, 8.1208 Å; angles 59.48, 59.48, 59.48 degrees
Closest atoms and distances in Å follow each position.
Sites, in units of the cell vectors:
Y  0.2430  0.2430  0.2430  3 S 2.78, 3 Se 2.94
Y  0.2463  0.7429  0.7429  1 Pt 2.78, 2 S 2.80, 3 Se 2.92-2.94
Y  0.2571  0.2571  0.7537  1 Pt 2.78, 2 S 2.80, 3 Se 2.92-2.94
Y  0.2571  0.7537  0.2571  1 Pt 2.78, 2 S 2.80, 3 Se 2.92-2.94
Y  0.7429  0.2463  0.7429  1 Pt 2.78, 2 S 2.80, 3 Se 2.92-2.94
Y  0.7429  0.7429  0.2463  1 Pt 2.78, 2 S 2.80, 3 Se 2.92-2.94
Y  0.7537  0.2571  0.2571  1 Pt 2.78, 2 S 2.80, 3 Se 2.92-2.94
Y  0.7570  0.7570  0.7570  3 S 2.78, 3 Se 2.94
Pt  0.5000  0.5000  0.5000  6 Y 2.78
Se  0.0000  0.0000  0.0000  6 Y 2.94
Se  0.0000  0.5000  0.5000  6 Y 2.92-2.94
Se  0.5000  0.0000  0.5000  6 Y 2.92-2.94
Se  0.5000  0.5000  0.0000  6 Y 2.92-2.94
S  0.0000  0.0000  0.5000  6 Y 2.78-2.80
S  0.0000  0.5000  0.0000  6 Y 2.78-2.80
S  0.5000  0.0000  0.0000  6 Y 2.78-2.80

Formation energy from raw total energies = -1.802 eV per atom

***

This record from the Alexandria database describes crystalline Tb2NdCdN at its relaxed geometry. The functional is PBE.

Cell lengths 4.8575, 4.8575, 5.0546 Å; angles 90.00, 90.00, 90.00 degrees
Closest atoms and distances in Å follow each position.
Sites, in units of the cell vectors:
Tb  0.0000  0.5000  0.0000  2 N 2.43
Tb  0.5000  0.0000  0.0000  2 N 2.43
Nd  0.0000  0.0000  0.5000  2 N 2.53
Cd  0.5000  0.5000  0.5000  4 Nd 3.43, 8 Tb 3.51
N  0.0000  0.0000  0.0000  4 Tb 2.43, 2 Nd 2.53

Formation energy from raw total energies = -0.783 eV per atom

***

This record from the Alexandria database describes crystalline NdZnGa at its relaxed geometry. The functional is PBE.

Cell lengths 5.2106, 5.2106, 5.2106 Å; angles 134.25, 134.25, 66.70 degrees
Closest atoms and distances in Å follow each position.
Sites, in units of the cell vectors:
Nd  0.0000  0.0000  0.0000  5 Zn 2.97-3.18, 5 Ga 2.99-3.17
Zn  0.3410  0.3410  0.0000  1 Ga 2.74, 1 Nd 2.97
Ga  0.6560  0.6560  0.0000  1 Zn 2.74, 1 Nd 2.99

DFT formation energy = -0.15 eV per atom

***

This record from the Alexandria database describes crystalline Ac6Si2SbSe3 at its relaxed geometry. The functional is PBE.

Cell lengths 10.2283, 10.2283, 9.1734 Å; angles 102.21, 102.21, 25.97 degrees
Closest atoms and distances in Å follow each position.
Sites, in units of the cell vectors:
Ac  0.0049  0.0049  0.2583  1 Si 3.15, 3 Se 3.21-3.30, 2 Sb 3.29
Ac  0.3296  0.3296  0.4238  3 Si 3.17-3.19, 3 Se 3.32
Ac  0.3301  0.3301  0.9020  2 Si 3.17, 3 Se 3.22-3.32, 1 Sb 3.31
Ac  0.6699  0.6699  0.0980  2 Si 3.17, 3 Se 3.22-3.32, 1 Sb 3.31
Ac  0.6704  0.6704  0.5762  3 Si 3.17-3.19, 3 Se 3.32
Ac  0.9951  0.9951  0.7417  1 Si 3.15, 3 Se 3.21-3.30, 2 Sb 3.29
Si  0.1666  0.1666  0.3338  6 Ac 3.15-3.19
Si  0.8334  0.8334  0.6662  6 Ac 3.15-3.19
Sb  0.5000  0.5000  0.0000  6 Ac 3.29-3.31
Se  0.1646  0.1646  0.8341  6 Ac 3.22-3.32
Se  0.5000  0.5000  0.5000  6 Ac 3.21-3.32
Se  0.8354  0.8354  0.1659  6 Ac 3.22-3.32

Formation energy from raw total energies = -1.368 eV per atom

***

This record from the Alexandria database describes crystalline Ce2NdHg at its relaxed geometry. The functional is PBE.

Cell lengths 5.4522, 5.4522, 5.4522 Å; angles 60.00, 60.00, 60.00 degrees
Closest atoms and distances in Å follow each position.
Sites, in units of the cell vectors:
Ce  0.2500  0.2500  0.2500  4 Hg 3.34, 4 Nd 3.34
Ce  0.7500  0.7500  0.7500  4 Hg 3.34, 4 Nd 3.34
Nd  0.0000  0.0000  0.0000  8 Ce 3.34
Hg  0.5000  0.5000  0.5000  8 Ce 3.34

ΔE to the lowest computed polymorph = 129.3 meV/atom
DFT formation energy = 0.04 eV per atom

***

This record from the Alexandria database describes crystalline RbP3Pd at its relaxed geometry. The functional is PBE.

Cell lengths 4.8892, 4.8892, 4.8892 Å; angles 90.00, 90.00, 90.00 degrees
Closest atoms and distances in Å follow each position.
Sites, in units of the cell vectors:
Rb  0.0000  0.0000  0.0000  12 P 3.46
P  0.0000  0.5000  0.5000  2 Pd 2.44
P  0.5000  0.0000  0.5000  2 Pd 2.44
P  0.5000  0.5000  0.0000  2 Pd 2.44
Pd  0.5000  0.5000  0.5000  6 P 2.44

ΔE to the lowest computed polymorph = 0.0 meV/atom
DFT formation energy = 0.51 eV per atom

***

This record from the Alexandria database describes crystalline ZnCdFe2 at its relaxed geometry. The functional is PBE.

Cell lengths 4.6913, 4.6913, 4.6913 Å; angles 130.93, 130.93, 71.92 degrees
Closest atoms and distances in Å follow each position.
Sites, in units of the cell vectors:
Zn  0.0000  0.0000  0.0000  4 Cd 2.72, 8 Fe 2.72-2.75
Cd  0.2500  0.7500  0.5000  8 Fe 2.72-2.75, 4 Zn 2.72
Fe  0.5000  0.5000  0.0000  4 Cd 2.72, 4 Fe 2.72, 4 Zn 2.75
Fe  0.7500  0.2500  0.5000  4 Fe 2.72, 4 Zn 2.72, 4 Cd 2.75

DFT formation energy = 0.26 eV per atom

***

Across the entries above, calculated total energy takes the values -0.26659; -0.25932; -0.19979; -0.11665; -0.20363; -0.15424; -0.14564; -0.16600 hartree per atom, respectively.
Across the entries above, DOS(E_F) takes the values 0.57; 0.35; 0.98; 0.71; 0.23; 3.55; 1.00; 0.70 states/eV per atom, respectively.